# SrSc3In

An optimized crystal structure of SrSc3In (PBEsol, the Alexandria database).

a b c (Å): 5.4493 5.4493 5.4493
angles (deg): 90.00 90.00 90.00
Last column: nearest neighbours and their distance in Å.
Fractional positions:
Sc 0.0000 0.5000 0.0000  2 In 2.72
Sc 0.0000 0.0000 0.5000  2 In 2.72
Sc 0.5000 0.0000 0.0000  2 In 2.72
Sr 0.5000 0.5000 0.5000  12 Sc 3.85
In 0.0000 0.0000 0.0000  6 Sc 2.72

Summary:
VASP energy ... -23.00 eV per formula unit
SG ... Pm-3m
ΔH_f (0 K) ... 0.33 eV/atom